Entry 1:
The following is a DFT calculation (PBE) of a relaxed Rb2Hg2Au crystal.

Unit cell a=12.515 b=5.430 c=11.244 alpha=90.00 beta=111.41 gamma=90.00
Space group C2/m (No. 12)
Symmetry-distinct sites (fractional):
Rb  0.108  0.000  0.395 (multiplicity 4)
Rb  0.175  0.000  0.046 (multiplicity 4)
Hg  0.023  0.500  0.149 (multiplicity 4)
Hg  0.108  0.500  0.642 (multiplicity 4)
Au  0.224  0.000  0.733 (multiplicity 4)

Entry 2:
The following is a DFT calculation (PBE) of a relaxed RbHg5Au2 crystal.

Unit cell a=5.488 b=5.488 c=17.996 alpha=90.00 beta=90.00 gamma=90.00
Space group I4/mmm (No. 139)
Symmetry-distinct sites (fractional):
Rb  0.000  0.000  0.000 (multiplicity 2)
Hg  0.000  0.000  0.500 (multiplicity 2)
Hg  0.000  0.500  0.164 (multiplicity 8)
Au  0.000  0.000  0.344 (multiplicity 4)

Sequential ΔH_f (0 K) output: -0.2570; -0.0933 eV/atom
Sequential density of states at the Fermi level output: 0.303; 0.125 states/eV per atom